1.
{
  "formula": "Ti12Ga2Rh5",
  "functional": "GGA-PBE",
  "state": "relaxed",
  "total_magnetization_mub_per_atom": 0.00,
  "ef_ev_per_atom": -0.252,
  "final_energy_ry_per_atom": -0.5506,
  "lattice": [[6.101, 0.000, 0.000], [-3.051, 6.788, 0.591], [0.000, -1.693, 7.881]],
  "species": ["Ti", "Ti", "Ti", "Ti", "Ti", "Ti", "Ti", "Ti", "Ti", "Ti", "Ti", "Ti", "Rh", "Rh", "Rh", "Rh", "Rh", "Ga", "Ga"],
  "frac_coords": [[0.947, 0.371, 0.142], [0.404, 0.277, 0.568], [0.515, 0.030, 0.315], [0.053, 0.629, 0.858], [0.907, 0.815, 0.164], [0.485, 0.970, 0.685], [0.873, 0.277, 0.568], [0.424, 0.371, 0.142], [0.127, 0.723, 0.432], [0.576, 0.629, 0.858], [0.596, 0.723, 0.432], [0.093, 0.185, 0.836], [0.661, 0.322, 0.882], [0.726, 0.451, 0.371], [0.274, 0.549, 0.629], [0.339, 0.678, 0.118], [0.000, 0.000, 0.500], [0.292, 0.000, 0.000], [0.708, 0.000, 0.000]]
}

***

2.
{
  "formula": "Cs2CoAsI6",
  "functional": "GGA-PBE",
  "state": "relaxed",
  "total_magnetization_mub_per_atom": 0.20,
  "raw_formation_energy_ev_per_atom": -0.5732,
  "final_energy_ry_per_atom": -0.2094,
  "lattice": [[-3.246, -4.658, -5.887], [7.027, 0.370, -4.168], [3.755, -6.885, -2.304]],
  "species": ["I", "I", "I", "I", "I", "I", "Cs", "Cs", "Co", "As"],
  "frac_coords": [[0.745, 0.745, 0.000], [0.255, 0.255, 0.000], [0.258, 0.258, 0.485], [0.255, 0.745, 0.000], [0.742, 0.742, 0.515], [0.745, 0.255, 0.000], [0.750, 0.250, 0.500], [0.250, 0.750, 0.500], [0.500, 0.500, 0.000], [0.000, 0.000, 0.000]]
}

***

3.
{
  "formula": "DyH4Pt",
  "functional": "GGA-PBE",
  "state": "relaxed",
  "total_magnetization_mub_per_atom": 0.00,
  "final_energy_ry_per_atom": -0.3302,
  "lattice": [[3.700, 0.002, 1.710], [1.296, 3.715, 2.032], [0.193, 0.040, 4.424]],
  "species": ["H", "H", "H", "H", "Pt", "Dy"],
  "frac_coords": [[0.679, 0.555, 0.093], [0.324, 0.451, 0.904], [0.679, 0.097, 0.551], [0.324, 0.908, 0.447], [0.502, 0.003, 0.999], [0.002, 0.503, 0.499]]
}

***

4.
{
  "formula": "Ni2H3Pd2",
  "functional": "GGA-PBE",
  "state": "relaxed",
  "total_magnetization_mub_per_atom": 0.00,
  "final_energy_ry_per_atom": -0.3383,
  "lattice": [[-1.298, -2.449, 0.085], [2.405, 0.157, -4.170], [3.342, -1.670, 2.963]],
  "species": ["H", "H", "H", "Ni", "Ni", "Pd", "Pd"],
  "frac_coords": [[0.000, 0.000, 0.000], [0.236, 0.472, 0.798], [0.764, 0.528, 0.202], [0.631, 0.262, 0.878], [0.369, 0.738, 0.122], [0.882, 0.763, 0.632], [0.118, 0.237, 0.368]]
}

***

5.
{
  "formula": "Er4Te2AsPt",
  "functional": "GGA-PBE",
  "state": "relaxed",
  "total_magnetization_mub_per_atom": 0.00,
  "raw_formation_energy_ev_per_atom": -1.3309,
  "final_energy_ry_per_atom": -0.4214,
  "lattice": [[-3.802, 0.893, 1.370], [-2.887, -4.316, -5.195], [1.239, -4.067, 6.088]],
  "species": ["As", "Er", "Er", "Er", "Er", "Te", "Te", "Pt"],
  "frac_coords": [[0.000, 0.000, 0.000], [0.000, 0.272, 0.791], [0.500, 0.242, 0.218], [0.500, 0.758, 0.782], [0.000, 0.728, 0.209], [0.500, 0.000, 0.500], [0.000, 0.500, 0.500], [0.500, 0.500, 0.000]]
}

***

6.
{
  "formula": "InAgPS4",
  "functional": "GGA-PBE",
  "state": "relaxed",
  "total_magnetization_mub_per_atom": 0.00,
  "raw_formation_energy_ev_per_atom": -0.1905,
  "final_energy_ry_per_atom": -0.3028,
  "lattice": [[6.302, 0.000, 0.000], [0.000, 6.302, 0.000], [-3.151, -3.151, 4.843]],
  "species": ["P", "S", "S", "S", "S", "In", "Ag"],
  "frac_coords": [[0.250, 0.750, 0.500], [0.329, 0.856, 0.285], [0.144, 0.044, 0.715], [0.956, 0.430, 0.285], [0.570, 0.671, 0.715], [0.500, 0.500, 0.000], [0.000, 0.000, 0.000]]
}

***

7.
{
  "formula": "HfZrOsRu",
  "functional": "GGA-PBE",
  "state": "relaxed",
  "total_magnetization_mub_per_atom": 0.00,
  "ef_ev_per_atom": -0.671,
  "final_energy_ry_per_atom": -0.7661,
  "lattice": [[-1.356, 1.042, -2.771], [-1.215, -4.335, -1.035], [-4.029, 0.605, 2.198]],
  "species": ["Ru", "Os", "Zr", "Hf"],
  "frac_coords": [[0.000, 0.500, 0.500], [0.000, 0.000, 0.000], [0.500, 0.000, 0.500], [0.500, 0.500, 0.000]]
}

***

8.
{
  "formula": "LaZrN2F",
  "functional": "GGA-PBE",
  "state": "relaxed",
  "de_polymorph_mev_per_atom": 1563,
  "total_magnetization_mub_per_atom": 0.00,
  "raw_formation_energy_ev_per_atom": -0.1995,
  "final_energy_ry_per_atom": -0.4850,
  "lattice": [[-0.707, 4.548, 0.503], [-3.509, -0.213, -3.012], [-2.739, -0.785, 3.247]],
  "species": ["N", "N", "F", "La", "Zr"],
  "frac_coords": [[0.000, 0.500, 0.000], [0.500, 0.000, 0.000], [0.000, 0.000, 0.500], [0.000, 0.000, 0.000], [0.500, 0.500, 0.500]]
}